1.
NaSr2Cl, relaxed, DFT PBE; formation energy from raw total energies = -0.773 eV/atom; DOS at the Fermi energy = 6.75 states/eV per cell; space group = No. 160; offset from the most stable computed form = 0.004 eV/atom
1.0
4.1358 0.0000 0.0000
-2.0679 3.5817 0.0000
0.0000 0.0000 32.2936
Na Sr Cl
3 6 3
Cartesian
0.0000 0.0000 0.0000
0.0000 2.3878 21.5291
2.0679 1.1939 10.7645
0.0000 0.0000 18.3818
0.0000 0.0000 24.7030
0.0000 2.3878 7.6172
0.0000 2.3878 13.9385
2.0679 1.1939 3.1739
2.0679 1.1939 29.1463
0.0000 0.0000 5.4174
0.0000 2.3878 26.9465
2.0679 1.1939 16.1820

***

2.
BaNaHgGe, relaxed, DFT PBE; ΔH_f (0 K) = -0.282 eV/atom; DOS at the Fermi energy = 13.87 states/eV per cell; space group = No. 216
1.0
7.8375 0.0000 0.0000
0.0000 7.8375 0.0000
0.0000 0.0000 7.8375
Ba Na Hg Ge
4 4 4 4
Cartesian
0.0000 0.0000 0.0000
0.0000 3.9188 3.9188
3.9188 0.0000 3.9188
3.9188 3.9188 0.0000
0.0000 0.0000 3.9188
0.0000 3.9188 0.0000
3.9188 0.0000 0.0000
3.9188 3.9188 3.9188
1.9594 1.9594 5.8781
1.9594 5.8781 1.9594
5.8781 1.9594 1.9594
5.8781 5.8781 5.8781
1.9594 1.9594 1.9594
1.9594 5.8781 5.8781
5.8781 1.9594 5.8781
5.8781 5.8781 1.9594

***

3.
PrHo2Tl, relaxed, DFT PBE; ΔH_f (0 K) = -0.178 eV/atom; DOS at the Fermi energy = 5.81 states/eV per cell; space group = No. 123; offset from the most stable computed form = 0.000 eV/atom
1.0
4.9326 0.0000 0.0000
0.0000 4.9326 0.0000
0.0000 0.0000 4.8414
Pr Ho Tl
1 2 1
Cartesian
0.0000 0.0000 0.0000
0.0000 2.4663 2.4207
2.4663 0.0000 2.4207
2.4663 2.4663 0.0000

***

4.
Zr3VNi, relaxed, DFT PBE; ΔH_f (0 K) = 0.850 eV/atom; DOS at the Fermi energy = 8.57 states/eV per cell; space group = No. 221; offset from the most stable computed form = 0.324 eV/atom
1.0
4.8136 0.0000 0.0000
0.0000 4.8136 0.0000
0.0000 0.0000 4.8136
Zr V Ni
3 1 1
Cartesian
0.0000 0.0000 2.4068
0.0000 2.4068 0.0000
2.4068 0.0000 0.0000
0.0000 0.0000 0.0000
2.4068 2.4068 2.4068

***

5.
Ta4Ni5, relaxed, DFT PBE; ΔH_f (0 K) = -0.145 eV/atom; DOS at the Fermi energy = 8.98 states/eV per cell; space group = No. 139; offset from the most stable computed form = 0.000 eV/atom
1.0
-4.1482 4.1482 1.8441
4.1482 -4.1482 1.8441
4.1482 4.1482 -1.8441
Ta Ni
4 5
Cartesian
2.6132 0.0000 0.0000
5.6832 0.0000 0.0000
0.0000 2.6132 0.0000
0.0000 5.6832 0.0000
0.0000 0.0000 0.0000
2.8209 2.8209 0.0000
1.3273 -1.3273 1.8441
-1.3273 1.3273 1.8441
1.3273 1.3273 1.8441

***

6.
CsBeAgHg2, relaxed, DFT PBE; ΔH_f (0 K) = 0.117 eV/atom; DOS at the Fermi energy = 1.87 states/eV per cell; space group = No. 123
1.0
5.1152 0.0000 0.0000
0.0000 5.1152 0.0000
0.0000 0.0000 5.1405
Cs Be Ag Hg
1 1 1 2
Cartesian
0.0000 0.0000 0.0000
2.5576 2.5576 2.5703
2.5576 2.5576 0.0000
0.0000 2.5576 2.5703
2.5576 0.0000 2.5703

***

The highest DOS at the Fermi energy belongs to which entry?
BaNaHgGe

***

Among the records above, which one has the lowest DOS at the Fermi energy?
CsBeAgHg2

***

Please write out number 3 again, unchanged.
PrHo2Tl, relaxed, DFT PBE; ΔH_f (0 K) = -0.178 eV/atom; DOS at the Fermi energy = 5.81 states/eV per cell; space group = No. 123; offset from the most stable computed form = 0.000 eV/atom
1.0
4.9326 0.0000 0.0000
0.0000 4.9326 0.0000
0.0000 0.0000 4.8414
Pr Ho Tl
1 2 1
Cartesian
0.0000 0.0000 0.0000
0.0000 2.4663 2.4207
2.4663 0.0000 2.4207
2.4663 2.4663 0.0000

***

Look up the DOS at the Fermi energy of the sixth one.
1.87 states/eV per cell